# 1
This record from Alexandria describes a relaxed Sm12Ho5In2 crystal. The functional is PBE-GGA.

Lattice parameters (Å, degrees): 15.451 9.315 8.529 90.00 92.90 90.00
Space group C2/m (No. 12)
Symmetry-distinct sites (fractional):
Sm  0.056  0.000  0.324
Sm  0.082  0.500  0.885
Sm  0.124  0.195  0.663
Sm  0.149  0.315  0.235
Ho  0.000  0.500  0.500
Ho  0.189  0.000  0.010
Ho  0.232  0.500  0.582
In  0.000  0.176  0.000

Results
Crystal system: monoclinic
M_tot in μB per formula unit: 0.000
Theoretical density in g/cm3: 7.74
Energy in eV/atom: -4.480
Fermi-level density of states in states/eV/cell: 56.47

***

# 2
This record from Alexandria describes a relaxed CrIr3Rh3 crystal. The functional is PBE-GGA.

Lattice parameters (Å, degrees): 6.9190 6.9190 16.1536 90.00 90.00 120.00
Space group R-3 (No. 148, hexagonal axes)
Symmetry-distinct sites (fractional):
Cr  0.0000  0.0000  0.1147
Ir  0.0083  0.6853  0.0395
Rh  0.0237  0.7207  0.2083

Results
Crystal system: trigonal
M_tot in μB per formula unit: 0.872
Theoretical density in g/cm3: 13.94
Distance to the lowest polymorph of the same formula in meV/atom: 0
Fermi-level density of states in states/eV/cell: 52.30

***

# 3
This record from Alexandria describes a relaxed CeNd2Hg2 crystal. The functional is PBE-GGA.

Lattice parameters (Å, degrees): 8.720 11.949 5.897 90.00 90.00 90.00
Space group Ibam (No. 72)
Symmetry-distinct sites (fractional):
Ce  0.000  0.000  0.250
Nd  0.145  0.303  0.000
Hg  0.175  0.431  0.500

Results
Crystal system: orthorhombic
M_tot in μB per formula unit: 1.925
Theoretical density in g/cm3: 8.97
Energy in eV/atom: -3.370
Fermi-level density of states in states/eV/cell: 43.11

***

# 4
This record from Alexandria describes a relaxed CaCd2Rh crystal. The functional is PBE-GGA.

Lattice parameters (Å, degrees): 15.863 8.166 5.517 90.00 90.00 90.00
Space group Pnma (No. 62)
Symmetry-distinct sites (fractional):
Ca  0.107  0.250  0.243
Ca  0.140  0.750  0.448
Cd  0.038  0.056  0.747
Cd  0.212  0.553  0.947
Rh  0.066  0.750  0.959
Rh  0.185  0.250  0.726

Results
Crystal system: orthorhombic
M_tot in μB per formula unit: 0.000
Theoretical density in g/cm3: 6.84
Energy in eV/atom: -3.156
Fermi-level density of states in states/eV/cell: 14.74